1.
{"formula": "ZnAg6Au5", "functional": "PBE-GGA", "state": "optimized geometry", "lattice": [[4.879, -4.390, 0.000], [4.879, 4.390, 0.000], [-0.916, 0.000, 4.945]], "species": ["Zn", "Ag", "Ag", "Ag", "Ag", "Ag", "Ag", "Au", "Au", "Au", "Au", "Au"], "frac_coords": [[0.000, 0.000, 0.000], [0.084, 0.414, 0.250], [0.251, 0.251, 0.756], [0.414, 0.084, 0.250], [0.586, 0.916, 0.750], [0.749, 0.749, 0.244], [0.916, 0.586, 0.750], [0.162, 0.838, 0.500], [0.327, 0.673, 0.000], [0.500, 0.500, 0.500], [0.673, 0.327, 0.000], [0.838, 0.162, 0.500]], "volume_a3_per_cell": 211.8}

2.
{"formula": "Zn4Ag5Au2", "functional": "PBE-GGA", "state": "optimized geometry", "lattice": [[4.105, 0.000, 0.000], [2.046, 4.657, 0.000], [0.024, 1.976, 9.618]], "species": ["Zn", "Zn", "Zn", "Zn", "Ag", "Ag", "Ag", "Ag", "Ag", "Au", "Au"], "frac_coords": [[0.054, 0.391, 0.322], [0.311, 0.878, 0.225], [0.689, 0.122, 0.775], [0.946, 0.609, 0.678], [0.141, 0.218, 0.949], [0.216, 0.068, 0.594], [0.500, 0.500, 0.500], [0.784, 0.932, 0.406], [0.859, 0.782, 0.051], [0.422, 0.658, 0.853], [0.578, 0.342, 0.147]], "volume_a3_per_cell": 183.8}

no.,total energy (eV/cell),formation enthalpy at 0 K (eV per atom)
1,-35.31,-0.04
2,-26.77,-0.08